The following is a DFT calculation (PBEsol) of an optimized crystal structure of TcPtW2.

Summary:
ΔE to the lowest computed polymorph ... 145 meV per atom
Space-group type ... C2/m, No. 12

Cell and atoms, written as POSCAR:
```
TcPtW2
1.0
-2.5638 -0.2072 -0.9203
2.8457 -1.6144 -3.5096
-0.5528 -4.1315 2.4706
Pt Tc W
1 1 2
Cartesian
-0.2764 -2.0658 1.2353
-1.2819 -0.1036 -0.4601
-0.9195 -4.0576 -0.5794
0.6485 -1.8955 -1.3799
```

---

The following is a DFT calculation (PBEsol) of an optimized crystal structure of Mg4ZrOs.

Summary:
E_tot ... -4.3512 eV/atom
Space-group type ... F-43m, No. 216

Cell and atoms, written as POSCAR:
```
Mg4ZrOs
1.0
5.3495 0.0000 0.0000
2.6748 4.6328 0.0000
2.6748 1.5443 4.3679
Mg Os Zr
4 1 1
Cartesian
4.0198 2.3208 1.6411
5.3495 3.0885 3.8125
6.6792 2.3208 1.6411
5.3495 4.6240 1.6411
8.0243 4.6328 3.2759
0.0000 0.0000 0.0000
```